Entry 1:
Below is a relaxed Ca3Al3Cd crystal, with properties calculated at the PBE-GGA level.

Summary:
Magnetization (μB per cell): 0.0
Formation energy (meV/atom): -243.3
Space group: C2/m

abc: 4.6418 6.1427 14.4383
angles: 84.37 80.75 67.80
Atoms (fractional coordinates):
1 Ca 0.7419 0.7412 0.7750
2 Ca 0.5311 0.3185 0.6193
3 Al 0.9014 0.1206 0.0766
4 Al 0.1233 0.2960 0.4574
5 Ca 0.2581 0.2588 0.2250
6 Al 0.9646 0.8406 0.2302
7 Cd 0.7561 0.0909 0.3968
8 Al 0.0986 0.8794 0.9234
9 Al 0.8767 0.7040 0.5426
10 Ca 0.3916 0.2936 0.9232
11 Ca 0.4689 0.6815 0.3807
12 Ca 0.6084 0.7064 0.0768
13 Al 0.0354 0.1594 0.7698
14 Cd 0.2439 0.9091 0.6032

---

Entry 2:
Below is a relaxed CePuClO2 crystal, with properties calculated at the PBE-GGA level.

Summary:
Magnetization (μB per cell): 14.0
Space group: P2_1/m
ΔE_f (raw) (meV per atom): -2715.5

abc: 4.0825 6.9399 8.2528
angles: 114.85 90.00 90.00
Each line ends with the local moment (μB).
Atoms (fractional coordinates):
1 Ce 0.2500 0.6682 0.9266  1.03
2 O 0.2500 0.4864 0.6193  -0.09
3 Ce 0.7500 0.3318 0.0734  1.03
4 Pu 0.2500 0.6857 0.4508  5.41
5 O 0.7500 0.5135 0.3807  -0.09
6 O 0.7500 0.4833 0.8677  -0.04
7 Pu 0.7500 0.3143 0.5492  5.41
8 O 0.2500 0.5167 0.1323  -0.04
9 Cl 0.2500 0.0284 0.8169  0.00
10 Cl 0.7500 0.9716 0.1831  0.00

---

Entry 3:
Below is a relaxed CoW2Au crystal, with properties calculated at the PBE-GGA level.

Summary:
Magnetization (μB per cell): 1.7
Formation energy (meV/atom): 386.6
Offset from the most stable computed form (eV/atom): 0.143
Space group: I-4m2

abc: 4.7795 4.7795 4.7795
angles: 131.00 130.97 71.84
Each line ends with the local moment (μB).
Atoms (fractional coordinates):
1 W 0.7500 0.2500 0.5000  0.27
2 Co 0.2499 0.7499 0.5000  1.33
3 W 0.0001 0.0001 0.0000  0.05
4 Au 0.5000 0.5000 0.0000  0.05

---

Entry 4:
Below is a relaxed Ce3TlSn2 crystal, with properties calculated at the PBE-GGA level.

Summary:
Magnetization (μB per cell): 1.1
Formation energy (meV/atom): -476.2
Space group: P4/mmm

abc: 3.4785 3.4785 13.7591
angles: 90.00 90.00 90.00
Each line ends with the local moment (μB).
Atoms (fractional coordinates):
1 Tl 0.5000 0.5000 0.5000  0.01
2 Ce 0.0000 0.0000 0.3290  -0.83
3 Sn 0.5000 0.5000 0.8346  0.00
4 Ce 0.0000 0.0000 0.0000  0.83
5 Sn 0.5000 0.5000 0.1654  0.00
6 Ce 0.0000 0.0000 0.6710  -0.83

---

Entry 5:
Below is a relaxed SmSi3Ni9 crystal, with properties calculated at the PBE-GGA level.

Summary:
Magnetization (μB per cell): 0.0
Space group: C2/m
ΔE_f (raw) (meV per atom): -471.9

abc: 4.8011 6.1077 6.3064
angles: 82.17 67.63 69.02
Atoms (fractional coordinates):
1 Si 0.0000 0.0000 0.5000
2 Ni 0.6660 0.3436 0.3559
3 Ni 0.4877 0.7742 0.2290
4 Sm 0.0000 0.0000 0.0000
5 Ni 0.3340 0.6564 0.6441
6 Ni 0.5123 0.2258 0.7710
7 Ni 0.7167 0.7742 0.7710
8 Si 0.5000 0.5000 0.0000
9 Ni 0.0219 0.3436 0.6441
10 Ni 0.0000 0.5000 0.0000
11 Ni 0.2833 0.2258 0.2290
12 Ni 0.9781 0.6564 0.3559
13 Si 0.5000 0.0000 0.5000

---

Entry 6:
Below is a relaxed Tb3CeS6 crystal, with properties calculated at the PBE-GGA level.

Summary:
Magnetization (μB per cell): 1.9
Space group: P2_1/m
ΔE_f (raw) (meV per atom): -2067.1

abc: 4.0020 11.1206 11.3915
angles: 108.53 90.00 90.00
Each line ends with the local moment (μB).
Atoms (fractional coordinates):
1 Tb 0.7500 0.4382 0.8324  0.01
2 S 0.2500 0.2611 0.7265  -0.01
3 Tb 0.7500 0.6804 0.5017  0.01
4 Tb 0.2500 0.3196 0.4983  0.01
5 S 0.7500 0.4785 0.6120  0.00
6 Ce 0.2500 0.9524 0.3074  0.89
7 S 0.2500 0.1933 0.2497  -0.01
8 Tb 0.7500 0.1605 0.0854  0.01
9 S 0.7500 0.8067 0.7503  -0.01
10 S 0.7500 0.3962 0.0606  0.00
11 S 0.7500 0.1162 0.4626  -0.02
12 Tb 0.2500 0.5618 0.1676  0.01
13 S 0.2500 0.8838 0.5374  -0.02
14 S 0.7500 0.7389 0.2735  -0.01
15 S 0.7500 0.9174 0.0959  -0.01
16 S 0.2500 0.5215 0.3880  0.00
17 Ce 0.7500 0.0476 0.6926  0.89
18 Tb 0.2500 0.8395 0.9146  0.01
19 S 0.2500 0.0826 0.9041  -0.01
20 S 0.2500 0.6038 0.9394  0.00

---

Entry 7:
Below is a relaxed TmMg2In crystal, with properties calculated at the PBE-GGA level.

Summary:
Magnetization (μB per cell): 0.0
Formation energy (meV/atom): -86.9
Offset from the most stable computed form (eV/atom): 0.166
Space group: Fm-3m

abc: 5.1246 5.1246 5.1246
angles: 60.00 60.00 60.00
Atoms (fractional coordinates):
1 Mg 0.2500 0.2500 0.2500
2 Mg 0.7500 0.7500 0.7500
3 In 0.5000 0.5000 0.5000
4 Tm 0.0000 0.0000 0.0000

---

Entry 8:
Below is a relaxed UNi11Sb crystal, with properties calculated at the PBE-GGA level.

Summary:
Magnetization (μB per cell): 0.6
Space group: C2/m
ΔE_f (raw) (meV per atom): -82.9

abc: 4.8351 6.3875 6.2329
angles: 82.16 67.18 69.42
Each line ends with the local moment (μB).
Atoms (fractional coordinates):
1 Ni 0.6710 0.3409 0.3629  0.18
2 Ni 0.5013 0.7935 0.2184  0.17
3 Ni 0.9661 0.6591 0.3629  0.18
4 Ni 0.0339 0.3409 0.6371  0.18
5 Ni 0.3290 0.6591 0.6371  0.18
6 Ni 0.7198 0.7935 0.7816  0.17
7 Ni 0.5000 0.0000 0.5000  0.26
8 Sb 0.5000 0.5000 0.0000  0.00
9 Ni 0.0000 0.0000 0.5000  0.26
10 Ni 0.4987 0.2065 0.7816  0.17
11 Ni 0.0000 0.5000 0.0000  0.08
12 U 0.0000 0.0000 0.0000  -1.21
13 Ni 0.2802 0.2065 0.2184  0.17

---

Electronic total energy: -39.701 -91.212 -34.743 -31.031 -79.155 -130.521 -10.747 -80.083 (eV per cell)